Material: KRb2SeF6
Method: DFT, PBE
State: relaxed

POSCAR file:
```
KRb2SeF6
1.0
6.8739 0.0000 0.0000
3.4369 5.9529 0.0000
3.4369 1.9843 10.4020
Rb F Se K
4 12 2 2
Direct
0.8647 0.8647 0.4060
0.1353 0.1353 0.5940
0.7414 0.7414 0.7758
0.2586 0.2586 0.2242
0.8289 0.8289 0.1098
0.2323 0.8289 0.1098
0.1234 0.6400 0.5966
0.6400 0.6400 0.5966
0.8289 0.2323 0.1098
0.7677 0.1711 0.8902
0.1711 0.7677 0.8902
0.8766 0.3600 0.4034
0.6400 0.1234 0.5966
0.3600 0.3600 0.4034
0.1711 0.1711 0.8902
0.3600 0.8766 0.4034
0.0000 0.0000 0.0000
0.5000 0.5000 0.5000
0.4054 0.4054 0.7837
0.5946 0.5946 0.2163
```

Values from the calculation:
ΔE_f (raw)   -2.166 eV/atom
Density   3.1 g cm⁻³
Polymorph energy (0 for the lowest one)   0.000 eV/atom